Record 1
A plane-wave DFT calculation with GGA-PBE was carried out for Ho2AgPt9 after structural relaxation.

a b c (Å): 4.0826 4.0826 12.2020
angles (deg): 90.00 90.00 90.00
Last column: nearest neighbours and their distance in Å.
Atoms (fractional coordinates):
Ho 0.0000 0.0000 0.1701  12 Pt 2.89-2.91
Ho 0.0000 0.0000 0.8299  12 Pt 2.89-2.91
Ag 0.0000 0.0000 0.5000  12 Pt 2.84-2.89
Pt 0.0000 0.5000 0.0000  8 Pt 2.89-2.90, 4 Ho 2.91
Pt 0.0000 0.5000 0.3384  8 Pt 2.84-2.91, 2 Ag 2.84, 2 Ho 2.90
Pt 0.0000 0.5000 0.6616  8 Pt 2.84-2.91, 2 Ag 2.84, 2 Ho 2.90
Pt 0.5000 0.0000 0.0000  8 Pt 2.89-2.90, 4 Ho 2.91
Pt 0.5000 0.0000 0.3384  8 Pt 2.84-2.91, 2 Ag 2.84, 2 Ho 2.90
Pt 0.5000 0.0000 0.6616  8 Pt 2.84-2.91, 2 Ag 2.84, 2 Ho 2.90
Pt 0.5000 0.5000 0.1690  4 Ho 2.89, 8 Pt 2.90-2.91
Pt 0.5000 0.5000 0.5000  8 Pt 2.84, 4 Ag 2.89
Pt 0.5000 0.5000 0.8310  4 Ho 2.89, 8 Pt 2.90-2.91

Computed properties:
energy relative to the elements: -0.670 eV per atom
total magnetic moment: 0.0 μB/cell
crystal system: tetragonal
density of states at the Fermi level: 1.313 states/eV/atom

=====

Record 2
A plane-wave DFT calculation with GGA-PBE was carried out for HoAgPt4 after structural relaxation.

a b c (Å): 5.3523 5.3523 5.3523
angles (deg): 60.00 60.00 60.00
Last column: nearest neighbours and their distance in Å.
Atoms (fractional coordinates):
Ho 0.0000 0.0000 0.0000  12 Pt 3.14, 4 Ag 3.28
Ag 0.2500 0.2500 0.2500  12 Pt 3.14, 4 Ho 3.28
Pt 0.1261 0.6246 0.6246  6 Pt 2.67-2.68
Pt 0.6246 0.1261 0.6246  6 Pt 2.67-2.68
Pt 0.6246 0.6246 0.1261  6 Pt 2.67-2.68
Pt 0.6246 0.6246 0.6246  6 Pt 2.67-2.68

Computed properties:
energy relative to the elements: -0.705 eV per atom
total magnetic moment: 0.0 μB/cell
crystal system: cubic
density of states at the Fermi level: 1.329 states/eV/atom

=====

Record 3
A plane-wave DFT calculation with GGA-PBE was carried out for Ho8Ag2Pt after structural relaxation.

a b c (Å): 9.1437 9.1437 6.7891
angles (deg): 105.76 105.76 32.80
Last column: nearest neighbours and their distance in Å.
Atoms (fractional coordinates):
Ho 0.0273 0.0273 0.2839  1 Ag 2.89, 2 Pt 3.07
Ho 0.2026 0.2026 0.8181  1 Ag 2.87
Ho 0.3390 0.3390 0.5271  1 Pt 2.88, 3 Ag 2.90-3.17
Ho 0.4099 0.4099 0.0616  1 Pt 2.95
Ho 0.5901 0.5901 0.9384  1 Pt 2.95
Ho 0.6610 0.6610 0.4729  1 Pt 2.88, 3 Ag 2.90-3.17
Ho 0.7974 0.7974 0.1819  1 Ag 2.87
Ho 0.9727 0.9727 0.7161  1 Ag 2.89, 2 Pt 3.07
Ag 0.1843 0.1843 0.2249  5 Ho 2.87-3.17
Ag 0.8157 0.8157 0.7751  5 Ho 2.87-3.17
Pt 0.5000 0.5000 0.5000  8 Ho 2.88-3.07

Computed properties:
energy relative to the elements: -0.331 eV per atom
total magnetic moment: 0.0 μB/cell
crystal system: monoclinic
density of states at the Fermi level: 0.901 states/eV/atom

=====

Record 4
A plane-wave DFT calculation with GGA-PBE was carried out for Ho2AgPt2 after structural relaxation.

a b c (Å): 7.6342 7.6342 3.6888
angles (deg): 90.00 90.00 90.00
Last column: nearest neighbours and their distance in Å.
Atoms (fractional coordinates):
Ho 0.1669 0.3331 0.0000  6 Pt 2.84-2.95
Ho 0.3331 0.8331 0.0000  6 Pt 2.84-2.95
Ho 0.6669 0.1669 0.0000  6 Pt 2.84-2.95
Ho 0.8331 0.6669 0.0000  6 Pt 2.84-2.95
Ag 0.0000 0.0000 0.5000  4 Pt 2.98
Ag 0.5000 0.5000 0.5000  4 Pt 2.98
Pt 0.1330 0.6330 0.5000  6 Ho 2.84-2.95, 1 Pt 2.87, 2 Ag 2.98
Pt 0.3670 0.1330 0.5000  6 Ho 2.84-2.95, 1 Pt 2.87, 2 Ag 2.98
Pt 0.6330 0.8670 0.5000  6 Ho 2.84-2.95, 1 Pt 2.87, 2 Ag 2.98
Pt 0.8670 0.3670 0.5000  6 Ho 2.84-2.95, 1 Pt 2.87, 2 Ag 2.98

Computed properties:
energy relative to the elements: -1.017 eV per atom
total magnetic moment: 0.0 μB/cell
crystal system: tetragonal
density of states at the Fermi level: 0.399 states/eV/atom

=====

Record 5
A plane-wave DFT calculation with GGA-PBE was carried out for HoAgPtRh after structural relaxation.

a b c (Å): 4.6817 4.6817 4.6817
angles (deg): 60.00 60.00 60.00
Last column: nearest neighbours and their distance in Å.
Atoms (fractional coordinates):
Ho 0.0000 0.0000 0.0000  4 Rh 2.87, 4 Pt 2.87
Ag 0.5000 0.5000 0.5000  4 Rh 2.87, 4 Pt 2.87
Pt 0.2500 0.2500 0.2500  4 Ho 2.87, 4 Ag 2.87
Rh 0.7500 0.7500 0.7500  4 Ho 2.87, 4 Ag 2.87

Computed properties:
energy relative to the elements: -0.556 eV per atom
total magnetic moment: 0.0 μB/cell
crystal system: cubic
density of states at the Fermi level: 0.415 states/eV/atom

=====

Record 6
A plane-wave DFT calculation with GGA-PBE was carried out for Ho2Si3AgPt4 after structural relaxation.

a b c (Å): 4.0467 4.0467 10.9967
angles (deg): 90.00 90.00 90.00
Last column: nearest neighbours and their distance in Å.
Atoms (fractional coordinates):
Ho 0.0000 0.5000 0.2470  8 Pt 3.03-3.39, 4 Si 3.15
Ho 0.5000 0.0000 0.7530  8 Pt 3.03-3.39, 4 Si 3.15
Si 0.0000 0.5000 0.8722  5 Pt 2.31-2.46
Si 0.5000 0.0000 0.1278  5 Pt 2.31-2.46
Si 0.5000 0.5000 0.5000  4 Pt 2.70, 4 Ag 2.86
Ag 0.0000 0.0000 0.5000  4 Pt 2.70, 4 Si 2.86
Pt 0.0000 0.0000 0.0000  4 Si 2.46
Pt 0.0000 0.5000 0.6621  1 Si 2.31
Pt 0.5000 0.0000 0.3379  1 Si 2.31
Pt 0.5000 0.5000 0.0000  4 Si 2.46

Computed properties:
total magnetic moment: 0.0 μB/cell
crystal system: tetragonal
energy: -6.153 eV/atom
density of states at the Fermi level: 0.469 states/eV/atom

=====

Record 7
A plane-wave DFT calculation with GGA-PBE was carried out for TbHoAgPt after structural relaxation.

a b c (Å): 5.0220 5.0220 5.0220
angles (deg): 60.00 60.00 60.00
Last column: nearest neighbours and their distance in Å.
Atoms (fractional coordinates):
Tb 0.0000 0.0000 0.0000  4 Pt 3.08, 4 Ag 3.08
Ho 0.5000 0.5000 0.5000  4 Pt 3.08, 4 Ag 3.08
Ag 0.2500 0.2500 0.2500  4 Tb 3.08, 4 Ho 3.08
Pt 0.7500 0.7500 0.7500  4 Tb 3.08, 4 Ho 3.08

Computed properties:
energy relative to the elements: -0.786 eV per atom
total magnetic moment: 0.0 μB/cell
crystal system: cubic
density of states at the Fermi level: 0.683 states/eV/atom

=====

Record 8
A plane-wave DFT calculation with GGA-PBE was carried out for HoThAgPt after structural relaxation.

a b c (Å): 5.1183 5.1183 5.1183
angles (deg): 60.00 60.00 60.00
Last column: nearest neighbours and their distance in Å.
Atoms (fractional coordinates):
Ho 0.0000 0.0000 0.0000  4 Ag 3.13, 4 Pt 3.13
Th 0.5000 0.5000 0.5000  4 Ag 3.13, 4 Pt 3.13
Ag 0.7500 0.7500 0.7500  4 Th 3.13, 4 Ho 3.13
Pt 0.2500 0.2500 0.2500  4 Th 3.13, 4 Ho 3.13

Computed properties:
energy relative to the elements: -0.634 eV per atom
total magnetic moment: 0.0 μB/cell
crystal system: cubic
density of states at the Fermi level: 1.009 states/eV/atom

=====

Record 9
A plane-wave DFT calculation with GGA-PBE was carried out for HoTmAgPt after structural relaxation.

a b c (Å): 4.9771 4.9771 4.9771
angles (deg): 60.00 60.00 60.00
Last column: nearest neighbours and their distance in Å.
Atoms (fractional coordinates):
Ho 0.0000 0.0000 0.0000  4 Ag 3.05, 4 Pt 3.05
Tm 0.5000 0.5000 0.5000  4 Ag 3.05, 4 Pt 3.05
Ag 0.7500 0.7500 0.7500  4 Tm 3.05, 4 Ho 3.05
Pt 0.2500 0.2500 0.2500  4 Ho 3.05, 4 Tm 3.05

Computed properties:
energy relative to the elements: -0.815 eV per atom
total magnetic moment: 0.0 μB/cell
crystal system: cubic
density of states at the Fermi level: 0.697 states/eV/atom

=====

Record 10
A plane-wave DFT calculation with GGA-PBE was carried out for HoPuAg4 after structural relaxation.

a b c (Å): 5.6999 5.6999 5.6999
angles (deg): 60.00 60.00 60.00
Last column: nearest neighbours and their distance in Å.
Atoms (fractional coordinates):
Ho 0.0000 0.0000 0.0000  12 Ag 3.34, 4 Pu 3.49
Pu 0.7500 0.7500 0.7500  12 Ag 3.34, 4 Ho 3.49
Ag 0.3748 0.3748 0.3748  6 Ag 2.85
Ag 0.3748 0.3748 0.8755  6 Ag 2.85
Ag 0.3748 0.8755 0.3748  6 Ag 2.85
Ag 0.8755 0.3748 0.3748  6 Ag 2.85

Computed properties:
energy relative to the elements: -0.040 eV per atom
total magnetic moment: 6.2 μB/cell
crystal system: cubic
density of states at the Fermi level: 2.316 states/eV/atom

=====

Record 11
A plane-wave DFT calculation with GGA-PBE was carried out for Ho5PuAg4 after structural relaxation.

a b c (Å): 3.5626 3.5626 19.5489
angles (deg): 90.00 90.00 90.00
Last column: nearest neighbours and their distance in Å.
Atoms (fractional coordinates):
Ho 0.0000 0.0000 0.0000  8 Ag 3.12
Ho 0.0000 0.0000 0.1897  8 Ag 3.13
Ho 0.0000 0.0000 0.3781  4 Ag 3.11, 4 Pu 3.47
Ho 0.0000 0.0000 0.6219  4 Ag 3.11, 4 Pu 3.47
Ho 0.0000 0.0000 0.8103  8 Ag 3.13
Pu 0.5000 0.5000 0.5000  8 Ho 3.47, 4 Pu 3.56
Ag 0.5000 0.5000 0.0944  8 Ho 3.12-3.13
Ag 0.5000 0.5000 0.2845  8 Ho 3.11-3.13
Ag 0.5000 0.5000 0.7155  8 Ho 3.11-3.13
Ag 0.5000 0.5000 0.9056  8 Ho 3.12-3.13

Computed properties:
energy relative to the elements: -0.223 eV per atom
total magnetic moment: 6.4 μB/cell
crystal system: tetragonal
density of states at the Fermi level: 1.008 states/eV/atom

=====

Record 12
A plane-wave DFT calculation with GGA-PBE was carried out for HoPuAg4 after structural relaxation.

a b c (Å): 5.4548 5.4548 5.2704
angles (deg): 90.00 90.00 122.17
Last column: nearest neighbours and their distance in Å.
Atoms (fractional coordinates):
Ho 0.0000 0.0000 0.0000  10 Ag 3.09-3.13
Pu 0.5000 0.5000 0.5000  10 Ag 3.11-3.14
Ag 0.1716 0.8284 0.5000  5 Ag 3.01-3.28, 2 Ho 3.10, 3 Pu 3.11-3.14
Ag 0.3231 0.6769 0.0000  4 Ag 2.98-3.01, 3 Ho 3.09-3.13, 2 Pu 3.13
Ag 0.6769 0.3231 0.0000  4 Ag 2.98-3.01, 3 Ho 3.09-3.13, 2 Pu 3.13
Ag 0.8284 0.1716 0.5000  5 Ag 3.01-3.28, 2 Ho 3.10, 3 Pu 3.11-3.14

Computed properties:
energy relative to the elements: -0.097 eV per atom
total magnetic moment: 5.6 μB/cell
crystal system: orthorhombic
density of states at the Fermi level: 1.948 states/eV/atom

=====

> Among the records above, which one has the highest total magnetic moment?

Ho5PuAg4